Below is an optimized crystal structure of CaMg30CrO32, with properties calculated at the PBE with a Hubbard U level.

Lattice parameters (Å, degrees): 8.553 8.564 8.564 90.00 90.00 90.00
Last column: magnetic moment on the atom in μB.
Fractional positions:
O (0.252, 0.000, 0.500)  0.00
O (0.750, 0.250, 0.750)  0.00
O (0.000, 0.000, 0.262)  0.00
O (0.252, 0.500, 0.000)  0.00
O (0.250, 0.750, 0.750)  0.00
O (0.000, 0.738, 0.000)  0.00
O (0.250, 0.250, 0.750)  0.00
O (0.739, 0.000, 0.000)  0.01
O (0.250, 0.250, 0.250)  0.00
O (0.000, 0.748, 0.500)  0.00
O (0.750, 0.750, 0.250)  0.00
O (0.500, 0.500, 0.749)  0.00
O (0.500, 0.744, 0.000)  0.00
O (0.250, 0.500, 0.500)  0.00
O (0.000, 0.252, 0.500)  0.00
O (0.500, 0.749, 0.500)  0.00
O (0.000, 0.000, 0.738)  0.00
O (0.748, 0.500, 0.000)  0.00
O (0.750, 0.500, 0.500)  0.00
O (0.500, 0.251, 0.500)  0.00
O (0.000, 0.500, 0.748)  0.00
O (0.750, 0.250, 0.250)  0.00
O (0.261, 0.000, 0.000)  0.01
O (0.250, 0.750, 0.250)  0.00
O (0.500, 0.500, 0.251)  0.00
O (0.000, 0.500, 0.252)  0.00
O (0.000, 0.262, 0.000)  0.00
O (0.500, 0.000, 0.256)  0.00
O (0.500, 0.000, 0.744)  0.00
O (0.750, 0.750, 0.750)  0.00
O (0.748, 0.000, 0.500)  0.00
O (0.500, 0.256, 0.000)  0.00
Mg (0.749, 0.750, 0.500)  0.00
Mg (0.747, 0.746, 0.000)  0.00
Mg (0.749, 0.500, 0.750)  0.00
Mg (0.749, 0.500, 0.250)  0.00
Mg (0.747, 0.254, 0.000)  0.00
Mg (0.749, 0.250, 0.500)  0.00
Mg (0.251, 0.500, 0.250)  0.00
Mg (0.251, 0.500, 0.750)  0.00
Mg (0.747, 0.000, 0.254)  0.00
Mg (0.251, 0.750, 0.500)  0.00
Mg (0.253, 0.000, 0.746)  0.00
Mg (0.000, 0.500, 0.500)  0.00
Mg (0.500, 0.000, 0.500)  0.00
Mg (0.253, 0.254, 0.000)  0.00
Mg (0.500, 0.500, 0.500)  0.00
Mg (0.500, 0.751, 0.751)  0.00
Mg (0.253, 0.746, 0.000)  0.00
Mg (0.500, 0.751, 0.249)  0.00
Mg (0.000, 0.747, 0.253)  0.00
Mg (0.000, 0.500, 0.000)  0.00
Mg (0.251, 0.250, 0.500)  0.00
Mg (0.500, 0.249, 0.249)  0.00
Mg (0.000, 0.000, 0.500)  0.00
Mg (0.000, 0.253, 0.253)  0.00
Mg (0.000, 0.747, 0.747)  0.00
Mg (0.500, 0.249, 0.751)  0.00
Mg (0.500, 0.500, 0.000)  0.00
Mg (0.747, 0.000, 0.746)  0.00
Mg (0.253, 0.000, 0.254)  0.00
Mg (0.000, 0.253, 0.747)  0.00
Ca (0.000, 0.000, 0.000)  0.00
Cr (0.500, 0.000, 0.000)  1.91

Values from the calculation:
- space-group type = P4/mmm
- volume (Å³/atom) = 9.80
- magnetic moment (μB/f.u.) = 2.000
- energy (eV per atom) = -6.019
- theoretical density (g/cm3) = 3.5